# 1
This record from the Alexandria database describes crystalline YV3Br at its relaxed geometry. The functional is GGA-PBE.

Structure (POSCAR):
```
YV3Br
1.0
4.597 0.000 0.000
0.000 4.597 0.000
0.000 0.000 4.597
Y V Br
1 3 1
direct
0.000 0.000 0.000
0.000 0.500 0.500
0.500 0.000 0.500
0.500 0.500 0.000
0.500 0.500 0.500
```

Summary:
ΔE to the lowest computed polymorph: 0 meV per atom
Crystal system: cubic
ΔE_f (raw): 0.74 eV/atom
Calculated volume: 19.43 Å³/atom
Density of states at the Fermi level: 6.4 states/eV/f.u.
Space group: Pm-3m, No. 221
Calculated density: 5.5 g/cm3

***

# 2
This record from the Alexandria database describes crystalline Se2ClF at its relaxed geometry. The functional is GGA-PBE.

Structure (POSCAR):
```
Se2ClF
1.0
1.562 0.902 8.758
-1.562 0.902 8.758
0.000 -1.804 8.758
Se Cl F
2 1 1
direct
0.080 0.080 0.080
0.920 0.920 0.920
0.500 0.500 0.500
0.000 0.000 0.000
```

Summary:
ΔE to the lowest computed polymorph: 531 meV per atom
Crystal system: trigonal
ΔE_f (raw): 0.04 eV/atom
Calculated volume: 18.51 Å³/atom
Density of states at the Fermi level: 2.3 states/eV/f.u.
Space group: R-3m, No. 166
Calculated density: 4.8 g/cm3

***

# 3
This record from the Alexandria database describes crystalline Ta2CN at its relaxed geometry. The functional is GGA-PBE.

Structure (POSCAR):
```
Ta2CN
1.0
0.000 2.774 2.774
2.774 0.000 2.774
2.774 2.774 0.000
Ta C N
2 1 1
direct
0.250 0.250 0.250
0.750 0.750 0.750
0.000 0.000 0.000
0.500 0.500 0.500
```

Summary:
ΔE to the lowest computed polymorph: 756 meV per atom
Crystal system: cubic
ΔE_f (raw): -0.02 eV/atom
Calculated volume: 10.67 Å³/atom
Density of states at the Fermi level: 0.9 states/eV/f.u.
Space group: Fm-3m, No. 225
Calculated density: 15.1 g/cm3

***

# 4
This record from the Alexandria database describes crystalline Tm2Th3Sc4 at its relaxed geometry. The functional is GGA-PBE.

Structure (POSCAR):
```
Tm2Th3Sc4
1.0
7.846 -5.612 0.000
7.846 5.612 0.000
-0.803 0.000 5.748
Tm Th Sc
4 6 8
direct
0.008 0.754 0.703
0.246 0.992 0.797
0.754 0.008 0.203
0.992 0.246 0.297
0.127 0.873 0.250
0.216 0.464 0.396
0.464 0.216 0.896
0.536 0.784 0.104
0.784 0.536 0.604
0.873 0.127 0.750
0.102 0.358 0.853
0.325 0.570 0.959
0.358 0.102 0.353
0.430 0.675 0.541
0.570 0.325 0.459
0.642 0.898 0.647
0.675 0.430 0.041
0.898 0.642 0.147
```

Summary:
ΔE to the lowest computed polymorph: 21 meV per atom
Crystal system: monoclinic
Calculated volume: 28.12 Å³/atom
Density of states at the Fermi level: 13.7 states/eV/f.u.
Space group: C2/c, No. 15
Energy of formation: 0.12 eV/atom
Calculated density: 8.0 g/cm3

***

# 5
This record from the Alexandria database describes crystalline NaCd3Ag3 at its relaxed geometry. The functional is GGA-PBE.

Structure (POSCAR):
```
NaCd3Ag3
1.0
3.640 2.102 6.700
-3.640 2.102 6.700
0.000 -4.203 6.700
Na Cd Ag
2 6 6
direct
0.166 0.166 0.166
0.834 0.834 0.834
0.211 0.690 0.408
0.310 0.592 0.789
0.408 0.211 0.690
0.592 0.789 0.310
0.690 0.408 0.211
0.789 0.310 0.592
0.074 0.565 0.243
0.243 0.074 0.565
0.435 0.757 0.926
0.565 0.243 0.074
0.757 0.926 0.435
0.926 0.435 0.757
```

Summary:
ΔE to the lowest computed polymorph: 0 meV per atom
Crystal system: trigonal
Calculated volume: 21.97 Å³/atom
Density of states at the Fermi level: 3.0 states/eV/f.u.
Space group: R-3, No. 148
Energy of formation: 0.03 eV/atom
Calculated density: 7.4 g/cm3

***

# 6
This record from the Alexandria database describes crystalline TaMoRu2 at its relaxed geometry. The functional is GGA-PBE.

Structure (POSCAR):
```
TaMoRu2
1.0
-1.932 1.932 4.151
1.932 -1.932 4.151
1.932 1.932 -4.151
Ta Mo Ru
1 1 2
direct
0.000 0.000 0.000
0.250 0.750 0.500
0.500 0.500 0.000
0.750 0.250 0.500
```

Summary:
ΔE to the lowest computed polymorph: 49 meV per atom
Crystal system: tetragonal
Calculated volume: 15.49 Å³/atom
Density of states at the Fermi level: 4.2 states/eV/f.u.
Space group: I-4m2, No. 119
Energy of formation: -0.03 eV/atom
Calculated density: 12.8 g/cm3

***

# 7
This record from the Alexandria database describes crystalline Li3SbAs at its relaxed geometry. The functional is GGA-PBE.

Structure (POSCAR):
```
Li3SbAs
1.0
6.195 0.000 0.000
0.000 7.182 0.000
-2.378 0.000 8.802
Li Sb As
12 4 4
direct
0.075 0.102 0.397
0.075 0.398 0.897
0.180 0.568 0.631
0.180 0.932 0.131
0.297 0.068 0.836
0.297 0.432 0.336
0.703 0.568 0.664
0.703 0.932 0.164
0.820 0.068 0.869
0.820 0.432 0.369
0.925 0.602 0.103
0.925 0.898 0.603
0.490 0.672 0.902
0.490 0.828 0.402
0.510 0.172 0.598
0.510 0.328 0.098
0.051 0.747 0.372
0.051 0.753 0.872
0.949 0.247 0.128
0.949 0.253 0.628
```

Summary:
ΔE to the lowest computed polymorph: 0 meV per atom
Crystal system: monoclinic
ΔE_f (raw): -0.51 eV/atom
Calculated volume: 19.58 Å³/atom
Density of states at the Fermi level: 0.1 states/eV/f.u.
Space group: P2_1/c, No. 14
Calculated density: 3.7 g/cm3

***

# 8
This record from the Alexandria database describes crystalline LaTcS2Cl at its relaxed geometry. The functional is GGA-PBE.

Structure (POSCAR):
```
LaTcS2Cl
1.0
5.542 0.000 0.000
0.000 5.542 0.000
0.000 0.000 5.354
La Tc S Cl
1 1 2 1
direct
0.000 0.000 0.000
0.500 0.500 0.500
0.000 0.500 0.000
0.500 0.000 0.000
0.000 0.000 0.500
```

Summary:
ΔE to the lowest computed polymorph: 815 meV per atom
Crystal system: tetragonal
ΔE_f (raw): -0.05 eV/atom
Calculated volume: 32.88 Å³/atom
Density of states at the Fermi level: 2.4 states/eV/f.u.
Space group: P4/mmm, No. 123
Calculated density: 3.4 g/cm3

***

# 9
This record from the Alexandria database describes crystalline Dy2PuHg4 at its relaxed geometry. The functional is GGA-PBE.

Structure (POSCAR):
```
Dy2PuHg4
1.0
5.236 0.000 0.000
0.000 5.236 0.000
0.000 0.000 7.120
Dy Pu Hg
2 1 4
direct
0.000 0.000 0.000
0.500 0.500 0.500
0.000 0.000 0.500
0.000 0.500 0.235
0.000 0.500 0.765
0.500 0.000 0.235
0.500 0.000 0.765
```

Summary:
Crystal system: tetragonal
Calculated volume: 27.89 Å³/atom
Density of states at the Fermi level: 12.0 states/eV/f.u.
Space group: P4/mmm, No. 123
Energy of formation: -0.22 eV/atom
Calculated density: 11.7 g/cm3

***

# 10
This record from the Alexandria database describes crystalline Pr8Al2Pt at its relaxed geometry. The functional is GGA-PBE.

Structure (POSCAR):
```
Pr8Al2Pt
1.0
-2.722 3.587 8.453
2.722 -3.587 8.453
2.722 3.587 -8.453
Pr Al Pt
8 2 1
direct
0.129 0.366 0.762
0.198 0.198 0.000
0.253 0.000 0.253
0.396 0.634 0.762
0.604 0.366 0.238
0.747 0.000 0.747
0.802 0.802 0.000
0.871 0.634 0.238
0.316 0.816 0.500
0.684 0.184 0.500
0.000 0.500 0.500
```

Summary:
ΔE to the lowest computed polymorph: 36 meV per atom
Crystal system: orthorhombic
Calculated volume: 30.01 Å³/atom
Density of states at the Fermi level: 12.8 states/eV/f.u.
Space group: Immm, No. 71
Energy of formation: -0.28 eV/atom
Calculated density: 6.9 g/cm3

***

# 11
This record from the Alexandria database describes crystalline Na3GdCl6 at its relaxed geometry. The functional is GGA-PBE.

Structure (POSCAR):
```
Na3GdCl6
1.0
0.000 5.342 5.342
5.342 0.000 5.342
5.342 5.342 0.000
Na Gd Cl
3 1 6
direct
0.000 0.000 0.000
0.250 0.250 0.250
0.750 0.750 0.750
0.500 0.500 0.500
0.252 0.252 0.748
0.252 0.748 0.252
0.252 0.748 0.748
0.748 0.252 0.252
0.748 0.252 0.748
0.748 0.748 0.252
```

Summary:
ΔE to the lowest computed polymorph: 144 meV per atom
Crystal system: cubic
ΔE_f (raw): -1.85 eV/atom
Calculated volume: 30.49 Å³/atom
Density of states at the Fermi level: 0.0 states/eV/f.u.
Space group: Fm-3m, No. 225
Calculated density: 2.4 g/cm3